1.
First-principles (PBE) data for a geometry-optimized Ce6FeCoSn2 structure, as listed in the Alexandria database.

Lattice parameters (Å, degrees): 7.244 7.244 10.137 90.00 90.00 90.00
Space group I4/mmm (No. 139)
Symmetry-distinct sites (fractional):
Ce  0.000  0.000  0.238 x4
Ce  0.246  0.246  0.500 x8
Fe  0.000  0.000  0.000 x2
Co  0.000  0.000  0.500 x2
Sn  0.000  0.500  0.250 x4

Properties
The formation energy is -0.36 eV/atom. The total energy is -6.2738 eV per atom.

---

2.
First-principles (PBE) data for a geometry-optimized K2NaNb3O9 structure, as listed in the Alexandria database.

Lattice parameters (Å, degrees): 8.119 4.001 13.077 90.00 107.63 90.00
Space group Pm (No. 6)
Symmetry-distinct sites (fractional):
K  0.000  0.000  0.000 x1
K  0.166  0.000  0.331 x1
K  0.334  0.000  0.667 x1
K  0.667  0.000  0.333 x1
Na  0.481  0.000  0.979 x1
Na  0.813  0.000  0.648 x1
Nb  0.157  0.500  0.827 x1
Nb  0.328  0.500  0.159 x1
Nb  0.493  0.500  0.495 x1
Nb  0.660  0.500  0.828 x1
Nb  0.822  0.500  0.159 x1
Nb  0.992  0.500  0.496 x1
O  0.013  0.000  0.512 x1
O  0.089  0.500  0.677 x1
O  0.097  0.500  0.170 x1
O  0.188  0.000  0.845 x1
O  0.265  0.500  0.511 x1
O  0.272  0.500  0.009 x1
O  0.350  0.000  0.175 x1
O  0.428  0.500  0.345 x1
O  0.430  0.500  0.840 x1
O  0.521  0.000  0.513 x1
O  0.598  0.500  0.177 x1
O  0.604  0.500  0.677 x1
O  0.680  0.000  0.844 x1
O  0.754  0.500  0.009 x1
O  0.764  0.500  0.511 x1
O  0.849  0.000  0.175 x1
O  0.929  0.500  0.345 x1
O  0.932  0.500  0.845 x1

Properties
The total energy is -7.6548 eV per atom. The value obtained for the formation energy (no corrections) is -2.432 eV/atom.

---

3.
First-principles (PBE) data for a geometry-optimized KCr2Ir structure, as listed in the Alexandria database.

Lattice parameters (Å, degrees): 6.262 7.850 2.920 90.00 90.00 90.00
Space group Cmmm (No. 65)
Symmetry-distinct sites (fractional):
K  0.000  0.000  0.000 x2
Cr  0.250  0.250  0.500 x4
Ir  0.000  0.500  0.000 x2

Properties
The formation energy is 1.14 eV/atom. The total energy is -6.1632 eV per atom.

---

4.
First-principles (PBE) data for a geometry-optimized CdPbCl2 structure, as listed in the Alexandria database.

Lattice parameters (Å, degrees): 3.834 4.571 6.012 90.00 90.00 90.00
Space group Pmmm (No. 47)
Symmetry-distinct sites (fractional):
Cd  0.000  0.000  0.000 x1
Pb  0.500  0.000  0.500 x1
Cl  0.000  0.500  0.500 x1
Cl  0.500  0.500  0.000 x1

Properties
The total energy is -2.6033 eV per atom. The value obtained for the formation energy (no corrections) is -0.524 eV/atom.